No. 1
Compound: Rb4Sm3PuO8
Source: Alexandria
Functional: PBE
Structure: optimized geometry

Properties
- Symmetry: R-3m (166)
- Crystal system: trigonal

Cell lengths 7.7998, 7.7998, 7.7998 Å; angles 55.20, 55.20, 55.20 degrees
Sites, in units of the cell vectors:
1 Rb 0.0000 0.0000 0.0000
2 Rb 0.0000 0.5000 0.5000
3 Rb 0.5000 0.0000 0.5000
4 Rb 0.5000 0.5000 0.0000
5 Sm 0.0000 0.0000 0.5000
6 Sm 0.0000 0.5000 0.0000
7 Sm 0.5000 0.0000 0.0000
8 Pu 0.5000 0.5000 0.5000
9 O 0.2264 0.2264 0.2264
10 O 0.2278 0.7253 0.7253
11 O 0.2747 0.2747 0.7722
12 O 0.2747 0.7722 0.2747
13 O 0.7253 0.2278 0.7253
14 O 0.7253 0.7253 0.2278
15 O 0.7722 0.2747 0.2747
16 O 0.7736 0.7736 0.7736

***

No. 2
Compound: CsAcAuO4
Source: Alexandria
Functional: PBE
Structure: optimized geometry

Properties
- Symmetry: Cmcm (63)
- Crystal system: orthorhombic

Cell lengths 7.0014, 7.0014, 7.3717 Å; angles 90.00, 90.00, 117.74 degrees
Sites, in units of the cell vectors:
1 Cs 0.0000 0.0000 0.0000
2 Cs 0.0000 0.0000 0.5000
3 Ac 0.3309 0.6691 0.7500
4 Ac 0.6691 0.3309 0.2500
5 Au 0.3759 0.6241 0.2500
6 Au 0.6241 0.3759 0.7500
7 O 0.2534 0.7466 0.0563
8 O 0.2534 0.7466 0.4437
9 O 0.3091 0.3250 0.7500
10 O 0.3250 0.3091 0.2500
11 O 0.6750 0.6909 0.7500
12 O 0.6909 0.6750 0.2500
13 O 0.7466 0.2534 0.5563
14 O 0.7466 0.2534 0.9437

***

No. 3
Compound: BaSr2Br
Source: Alexandria
Functional: PBE
Structure: optimized geometry

Properties
- Distance to the lowest polymorph of the same formula: 0.036 eV per atom
- Symmetry: Cmm2 (35)
- Crystal system: orthorhombic

Cell lengths 4.2027, 4.2027, 11.9311 Å; angles 90.00, 90.00, 114.90 degrees
Sites, in units of the cell vectors:
1 Ba 0.0000 0.0000 0.0000
2 Sr 0.0000 0.0000 0.4153
3 Sr 0.5000 0.5000 0.7013
4 Br 0.5000 0.5000 0.2198

***

No. 4
Compound: HoErTm3
Source: Alexandria
Functional: PBE
Structure: optimized geometry

Properties
- Calculated formation energy: 390.9 meV/atom
- Distance to the lowest polymorph of the same formula: 0.393 eV per atom
- Symmetry: Cmcm (63)
- Crystal system: orthorhombic

Cell lengths 6.3328, 6.3328, 10.7232 Å; angles 90.00, 90.00, 128.95 degrees
Sites, in units of the cell vectors:
1 Ho 0.1532 0.8468 0.7500
2 Ho 0.8468 0.1532 0.2500
3 Er 0.4704 0.5296 0.2500
4 Er 0.5296 0.4704 0.7500
5 Tm 0.1655 0.8345 0.2500
6 Tm 0.3474 0.6526 0.5165
7 Tm 0.3474 0.6526 0.9835
8 Tm 0.6526 0.3474 0.0165
9 Tm 0.6526 0.3474 0.4835
10 Tm 0.8345 0.1655 0.7500

***

No. 5
Compound: MoIrPt2
Source: Alexandria
Functional: PBE
Structure: optimized geometry

Properties
- Calculated formation energy: -183.4 meV/atom
- Distance to the lowest polymorph of the same formula: 0.068 eV per atom
- Symmetry: I4/mmm (139)
- Crystal system: tetragonal

Cell lengths 4.8923, 4.8923, 4.8923 Å; angles 133.21, 133.21, 68.32 degrees
Sites, in units of the cell vectors:
1 Mo 0.0000 0.0000 0.0000
2 Ir 0.5000 0.5000 0.0000
3 Pt 0.2500 0.7500 0.5000
4 Pt 0.7500 0.2500 0.5000

***

No. 6
Compound: CaTa2Pt2
Source: Alexandria
Functional: PBE
Structure: optimized geometry

Properties
- Calculated formation energy: -429.9 meV/atom
- Distance to the lowest polymorph of the same formula: 0.000 eV per atom
- Symmetry: P4/mbm (127)
- Crystal system: tetragonal

Cell lengths 8.2051, 8.2051, 2.8148 Å; angles 90.00, 90.00, 90.00 degrees
Sites, in units of the cell vectors:
1 Ca 0.0000 0.0000 0.0000
2 Ca 0.5000 0.5000 0.0000
3 Ta 0.1202 0.3798 0.0000
4 Ta 0.3798 0.8798 0.0000
5 Ta 0.6202 0.1202 0.0000
6 Ta 0.8798 0.6202 0.0000
7 Pt 0.1730 0.6730 0.5000
8 Pt 0.3270 0.1730 0.5000
9 Pt 0.6730 0.8270 0.5000
10 Pt 0.8270 0.3270 0.5000

***

No. 7
Compound: Ac2DyGa4Au3
Source: Alexandria
Functional: PBE
Structure: optimized geometry

Properties
- Calculated formation energy: -651.0 meV/atom
- Symmetry: P-4m2 (115)
- Crystal system: tetragonal

Cell lengths 4.4819, 4.4819, 11.8421 Å; angles 90.00, 90.00, 90.00 degrees
Sites, in units of the cell vectors:
1 Ac 0.0000 0.5000 0.2336
2 Ac 0.5000 0.0000 0.7664
3 Dy 0.0000 0.0000 0.5000
4 Ga 0.0000 0.0000 0.0000
5 Ga 0.0000 0.5000 0.6577
6 Ga 0.5000 0.0000 0.3423
7 Ga 0.5000 0.5000 0.0000
8 Au 0.0000 0.5000 0.8767
9 Au 0.5000 0.0000 0.1233
10 Au 0.5000 0.5000 0.5000

***

No. 8
Compound: Pm3Nd3CoAu2
Source: Alexandria
Functional: PBE
Structure: optimized geometry

Properties
- Calculated formation energy: -362.1 meV/atom
- Symmetry: P-62m (189)
- Crystal system: hexagonal

Cell lengths 8.5737, 8.5737, 3.8496 Å; angles 90.00, 90.00, 120.00 degrees
Sites, in units of the cell vectors:
1 Pm 0.0000 0.2342 0.0000
2 Pm 0.2342 0.0000 0.0000
3 Pm 0.7658 0.7658 0.0000
4 Nd 0.0000 0.5848 0.5000
5 Nd 0.4152 0.4152 0.5000
6 Nd 0.5848 0.0000 0.5000
7 Co 0.0000 0.0000 0.5000
8 Au 0.3333 0.6667 0.0000
9 Au 0.6667 0.3333 0.0000

***

| no. | E (eV/f.u.) |
| --- | --- |
| 1 | -112.40 |
| 2 | -35.90 |
| 3 | -9.76 |
| 4 | -20.60 |
| 5 | -32.51 |
| 6 | -39.94 |
| 7 | -41.27 |
| 8 | -45.47 |